Entry 1:
# TlCuSnTe2S, optimized geometry, DFT PBE
# **E**: -21.65 eV per formula unit
data_TlCuSnTe2S
_chemical_formula_sum 'Tl4 Cu4 Sn4 Te8 S4'
_space_group_name_H-M_alt 'C m c m'
_space_group_IT_number 63
_space_group_name_Hall '-C 2c 2'
_cell_length_a 4.1901
_cell_length_b 13.6668
_cell_length_c 11.2025
_cell_angle_alpha 90.00
_cell_angle_beta 90.00
_cell_angle_gamma 90.00
loop_
_atom_site_label
_atom_site_type_symbol
_atom_site_fract_x
_atom_site_fract_y
_atom_site_fract_z
Tl1 Tl 0.0000 0.2258 0.2500
Cu1 Cu 0.0000 0.0346 0.7500
Sn1 Sn 0.0000 0.5000 0.0000
Te1 Te 0.0000 0.1500 0.5526
S1 S 0.0000 0.4635 0.7500

***

Entry 2:
# TmCuSnTeS2, optimized geometry, DFT PBE
# **E**: -28.93 eV per formula unit
# **Size of the total moment**: 0.0 μB per cell
data_TmCuSnTeS2
_chemical_formula_sum 'Tm4 Cu4 Sn4 Te4 S8'
_space_group_name_H-M_alt 'C m c m'
_space_group_IT_number 63
_space_group_name_Hall '-C 2c 2'
_cell_length_a 3.9678
_cell_length_b 13.5815
_cell_length_c 10.8625
_cell_angle_alpha 90.00
_cell_angle_beta 90.00
_cell_angle_gamma 90.00
loop_
_atom_site_label
_atom_site_type_symbol
_atom_site_fract_x
_atom_site_fract_y
_atom_site_fract_z
Tm1 Tm 0.0000 0.0000 0.0000
Cu1 Cu 0.0000 0.4743 0.2500
Sn1 Sn 0.0000 0.2064 0.7500
Te1 Te 0.0000 0.1044 0.2500
S1 S 0.0000 0.3766 0.0740

***

Entry 3:
# TlCu3SnS4, optimized geometry, DFT PBE
# **E**: -34.82 eV per formula unit
# **E above lowest polymorph**: 148 meV per atom
data_TlCu3SnS4
_chemical_formula_sum 'Tl1 Cu3 Sn1 S4'
_space_group_name_H-M_alt 'P -4 3 m'
_space_group_IT_number 215
_space_group_name_Hall 'P -4 2 3'
_cell_length_a 5.9735
_cell_length_b 5.9735
_cell_length_c 5.9735
_cell_angle_alpha 90.00
_cell_angle_beta 90.00
_cell_angle_gamma 90.00
loop_
_atom_site_label
_atom_site_type_symbol
_atom_site_fract_x
_atom_site_fract_y
_atom_site_fract_z
Tl1 Tl 0.0000 0.0000 0.0000
Cu1 Cu 0.0000 0.5000 0.5000
Sn1 Sn 0.5000 0.5000 0.5000
S1 S 0.2683 0.2683 0.2683

***

Entry 4:
# TlCuSnS3, optimized geometry, DFT PBE
# **E**: -24.23 eV per formula unit
# **E above lowest polymorph**: 51 meV per atom
data_TlCuSnS3
_chemical_formula_sum 'Tl4 Cu4 Sn4 S12'
_space_group_name_H-M_alt 'P n m a'
_space_group_IT_number 62
_space_group_name_Hall '-P 2ac 2n'
_cell_length_a 12.3697
_cell_length_b 3.7816
_cell_length_c 12.4910
_cell_angle_alpha 90.00
_cell_angle_beta 90.00
_cell_angle_gamma 90.00
loop_
_atom_site_label
_atom_site_type_symbol
_atom_site_fract_x
_atom_site_fract_y
_atom_site_fract_z
Tl1 Tl 0.1725 0.2500 0.0018
Cu1 Cu 0.2265 0.7500 0.7916
Sn1 Sn 0.0574 0.7500 0.2807
S1 S 0.0465 0.7500 0.8202
S2 S 0.1187 0.2500 0.4098
S3 S 0.2298 0.7500 0.1843

***

Entry 5:
# TlCu3SnS4, optimized geometry, DFT PBE
# **E**: -36.14 eV per formula unit
# **E above lowest polymorph**: 0 meV per atom
data_TlCu3SnS4
_chemical_formula_sum 'Tl2 Cu6 Sn2 S8'
_space_group_name_H-M_alt 'P 1 21/m 1'
_space_group_IT_number 11
_space_group_name_Hall '-P 2yb'
_cell_length_a 5.8436
_cell_length_b 7.4474
_cell_length_c 9.5822
_cell_angle_alpha 90.00
_cell_angle_beta 105.32
_cell_angle_gamma 90.00
loop_
_atom_site_label
_atom_site_type_symbol
_atom_site_fract_x
_atom_site_fract_y
_atom_site_fract_z
Tl1 Tl 0.1861 0.2500 0.3946
Cu1 Cu 0.3144 0.5720 0.0276
Cu2 Cu 0.4407 0.7500 0.2757
Sn1 Sn 0.1090 0.2500 0.7900
S1 S 0.0141 0.2500 0.0250
S2 S 0.2082 0.7500 0.4276
S3 S 0.3701 0.5101 0.7860

***

Entry 6:
# TlCuSnS3, optimized geometry, DFT PBE
# **E**: -24.34 eV per formula unit
# **E above lowest polymorph**: 33 meV per atom
data_TlCuSnS3
_chemical_formula_sum 'Tl4 Cu4 Sn4 S12'
_space_group_name_H-M_alt 'C m c m'
_space_group_IT_number 63
_space_group_name_Hall '-C 2c 2'
_cell_length_a 3.8030
_cell_length_b 13.6098
_cell_length_c 10.4551
_cell_angle_alpha 90.00
_cell_angle_beta 90.00
_cell_angle_gamma 90.00
loop_
_atom_site_label
_atom_site_type_symbol
_atom_site_fract_x
_atom_site_fract_y
_atom_site_fract_z
Tl1 Tl 0.0000 0.2300 0.2500
Cu1 Cu 0.0000 0.0635 0.7500
Sn1 Sn 0.0000 0.5000 0.0000
S1 S 0.0000 0.1268 0.5470
S2 S 0.0000 0.4528 0.7500

***

Entry 7:
# TlCuSnS3, optimized geometry, DFT PBE
# **E**: -24.54 eV per formula unit
# **E above lowest polymorph**: 0 meV per atom
data_TlCuSnS3
_chemical_formula_sum 'Tl2 Cu2 Sn2 S6'
_space_group_name_H-M_alt 'P 1 21/m 1'
_space_group_IT_number 11
_space_group_name_Hall '-P 2yb'
_cell_length_a 7.9211
_cell_length_b 3.8721
_cell_length_c 9.7628
_cell_angle_alpha 90.00
_cell_angle_beta 109.64
_cell_angle_gamma 90.00
loop_
_atom_site_label
_atom_site_type_symbol
_atom_site_fract_x
_atom_site_fract_y
_atom_site_fract_z
Tl1 Tl 0.2424 0.2500 0.1855
Cu1 Cu 0.4352 0.2500 0.9176
Sn1 Sn 0.1821 0.7500 0.6483
S1 S 0.0597 0.7500 0.3683
S2 S 0.2611 0.7500 0.9277
S3 S 0.4094 0.2500 0.6697

***

Entry 8:
# Cu6SnWS8, optimized geometry, DFT PBE
# **E**: -78.69 eV per formula unit
# **Size of the total moment**: 0.0 μB per cell
data_Cu6SnWS8
_chemical_formula_sum 'Cu24 Sn4 W4 S32'
_space_group_name_H-M_alt 'F -4 3 m'
_space_group_IT_number 216
_space_group_name_Hall 'F -4 2 3'
_cell_length_a 10.8658
_cell_length_b 10.8658
_cell_length_c 10.8658
_cell_angle_alpha 90.00
_cell_angle_beta 90.00
_cell_angle_gamma 90.00
loop_
_atom_site_label
_atom_site_type_symbol
_atom_site_fract_x
_atom_site_fract_y
_atom_site_fract_z
Cu1 Cu 0.0000 0.0000 0.2481
Sn1 Sn 0.2500 0.2500 0.2500
W1 W 0.0000 0.0000 0.5000
S1 S 0.1193 0.1193 0.1193
S2 S 0.1205 0.1205 0.6205

***

Entry 9:
# SrCuS2, optimized geometry, DFT PBE
# **E**: -18.13 eV per formula unit
data_SrCuS2
_chemical_formula_sum 'Sr4 Cu4 S8'
_space_group_name_H-M_alt 'C m c m'
_space_group_IT_number 63
_space_group_name_Hall '-C 2c 2'
_cell_length_a 4.1247
_cell_length_b 19.4476
_cell_length_c 4.5830
_cell_angle_alpha 90.00
_cell_angle_beta 90.00
_cell_angle_gamma 90.00
loop_
_atom_site_label
_atom_site_type_symbol
_atom_site_fract_x
_atom_site_fract_y
_atom_site_fract_z
Sr1 Sr 0.0000 0.1647 0.2500
Cu1 Cu 0.0000 0.4333 0.2500
S1 S 0.0000 0.3182 0.2500
S2 S 0.0000 0.4519 0.7500

***

Entry 10:
# SrCu2S2, optimized geometry, DFT PBE
# **E**: -22.08 eV per formula unit
data_SrCu2S2
_chemical_formula_sum 'Sr4 Cu8 S8'
_space_group_name_H-M_alt 'P n m a'
_space_group_IT_number 62
_space_group_name_Hall '-P 2ac 2n'
_cell_length_a 9.2534
_cell_length_b 3.9256
_cell_length_c 10.1172
_cell_angle_alpha 90.00
_cell_angle_beta 90.00
_cell_angle_gamma 90.00
loop_
_atom_site_label
_atom_site_type_symbol
_atom_site_fract_x
_atom_site_fract_y
_atom_site_fract_z
Sr1 Sr 0.2472 0.2500 0.1825
Cu1 Cu 0.0574 0.2500 0.8973
Cu2 Cu 0.0767 0.2500 0.4543
S1 S 0.0192 0.7500 0.3235
S2 S 0.1692 0.7500 0.9684

***

Entry 11:
# Sr2TaCuS6, optimized geometry, DFT PBE
# **E**: -54.88 eV per formula unit
# **Size of the total moment**: 0.0 μB per cell
data_Sr2TaCuS6
_chemical_formula_sum 'Sr4 Ta2 Cu2 S12'
_space_group_name_H-M_alt 'I 4/m'
_space_group_IT_number 87
_space_group_name_Hall '-I 4'
_cell_length_a 6.2063
_cell_length_b 6.2063
_cell_length_c 11.2046
_cell_angle_alpha 90.00
_cell_angle_beta 90.00
_cell_angle_gamma 90.00
loop_
_atom_site_label
_atom_site_type_symbol
_atom_site_fract_x
_atom_site_fract_y
_atom_site_fract_z
Sr1 Sr 0.0000 0.5000 0.2500
Ta1 Ta 0.0000 0.0000 0.0000
Cu1 Cu 0.0000 0.0000 0.5000
S1 S 0.0000 0.0000 0.2236
S2 S 0.1401 0.6539 0.5000

***

Entry 12:
# SrTbCuS3, optimized geometry, DFT PBE
# **E**: -32.47 eV per formula unit
# **Size of the total moment**: 0.0 μB per cell
data_SrTbCuS3
_chemical_formula_sum 'Sr2 Tb2 Cu2 S6'
_space_group_name_H-M_alt 'P 1 21/m 1'
_space_group_IT_number 11
_space_group_name_Hall '-P 2yb'
_cell_length_a 8.2572
_cell_length_b 3.9379
_cell_length_c 8.6809
_cell_angle_alpha 90.00
_cell_angle_beta 103.60
_cell_angle_gamma 90.00
loop_
_atom_site_label
_atom_site_type_symbol
_atom_site_fract_x
_atom_site_fract_y
_atom_site_fract_z
Sr1 Sr 0.1904 0.2500 0.2382
Tb1 Tb 0.3250 0.7500 0.8323
Cu1 Cu 0.0838 0.2500 0.5892
S1 S 0.1012 0.2500 0.8627
S2 S 0.2150 0.7500 0.5128
S3 S 0.4384 0.7500 0.1629